The following is a PBE+U calculation of crystalline Li4VFeTe2O12 at its relaxed geometry, from Alexandria via LeMat-Bulk.

Unit cell a=5.109 b=5.382 c=7.466 alpha=93.95 beta=90.09 gamma=90.20
Space group P1 (No. 1)
Symmetry-distinct sites (fractional):
Li 0.000 0.000 0.000 [1 per cell]
Li 0.000 0.018 0.506 [1 per cell]
Li 0.495 0.490 0.515 [1 per cell]
Li 0.503 0.514 0.988 [1 per cell]
V 0.000 0.569 0.224 [1 per cell]
Fe 0.499 0.073 0.717 [1 per cell]
Te 0.006 0.584 0.722 [1 per cell]
Te 0.497 0.073 0.212 [1 per cell]
O 0.127 0.607 0.967 [1 per cell]
O 0.174 0.907 0.268 [1 per cell]
O 0.190 0.289 0.641 [1 per cell]
O 0.298 0.773 0.636 [1 per cell]
O 0.304 0.410 0.269 [1 per cell]
O 0.376 0.115 0.973 [1 per cell]
O 0.624 0.110 0.451 [1 per cell]
O 0.684 0.415 0.759 [1 per cell]
O 0.698 0.786 0.135 [1 per cell]
O 0.805 0.296 0.143 [1 per cell]
O 0.833 0.903 0.758 [1 per cell]
O 0.877 0.597 0.446 [1 per cell]

Results
Volume (Å³ per cell): 205
Total magnetic moment (μB/f.u.): 4.959
Uncorrected energy (eV/cell): -117.492